No. 1
Y2HgPRh after structural relaxation, computed with GGA-PBEsol.

## Properties
* total moment: 0.000 μB per atom
* calculated formation energy: 745 meV per atom
* N(E_F): 0.850 states/eV/atom
* calculated total energy: -4.8832 eV per atom

Lattice parameters (Å, degrees): 5.4975 5.4975 4.5323 90.00 90.00 90.00
With the nearest neighbours (Å) after each atom.
Space group P4/mmm (No. 123)
Unique sites:
Y1 0.0000 0.5000 0.0000 (multiplicity 2)  2 Hg 2.75
Hg1 0.0000 0.0000 0.0000 (multiplicity 1)  2 P 2.27
P1 0.0000 0.0000 0.5000 (multiplicity 1)  2 Hg 2.27
Rh1 0.5000 0.5000 0.5000 (multiplicity 1)  8 Y 3.56, 4 P 3.89


No. 2
Hg2PRu after structural relaxation, computed with GGA-PBEsol.

## Properties
* total moment: 0.008 μB per atom
* calculated formation energy: 626 meV per atom
* N(E_F): 1.046 states/eV/atom
* calculated total energy: -3.6484 eV per atom

Lattice parameters (Å, degrees): 3.8813 3.8813 4.5328 90.00 90.00 90.00
With the nearest neighbours (Å) after each atom.
Space group P4/mmm (No. 123)
Unique sites:
Hg1 0.0000 0.5000 0.0000 (multiplicity 2)  4 Hg 2.74, 4 Ru 2.98, 4 P 2.98
P1 0.0000 0.0000 0.5000 (multiplicity 1)  4 Ru 2.74, 8 Hg 2.98
Ru1 0.5000 0.5000 0.5000 (multiplicity 1)  4 P 2.74, 8 Hg 2.98